1.
{
  "formula": "Nb2Tl2AgO7",
  "functional": "GGA-PBE",
  "state": "relaxed",
  "space_group": "No. 12",
  "lattice": [[-3.6855, -1.1733, 1.2603], [1.6227, -2.2511, 2.9745], [-1.0002, 7.5707, 7.8577]],
  "species": ["O", "O", "O", "O", "O", "O", "O", "Nb", "Nb", "Tl", "Tl", "Ag"],
  "fractional_positions": [[0.5000, 0.5000, 0.0000], [0.5936, 0.5936, 0.6312], [0.0620, 0.5575, 0.8155], [0.4064, 0.4064, 0.3688], [0.4425, 0.9380, 0.1845], [0.5575, 0.0620, 0.8155], [0.9380, 0.4425, 0.1845], [0.4023, 0.4023, 0.1838], [0.5977, 0.5977, 0.8162], [0.8083, 0.8083, 0.3963], [0.1917, 0.1917, 0.6037], [0.0000, 0.0000, 0.0000]]
}

=====

2.
{
  "formula": "KRu6S8",
  "functional": "GGA-PBE",
  "state": "relaxed",
  "space_group": "No. 148",
  "lattice": [[6.5846, 0.1099, -0.0990], [-0.1021, 6.5847, -0.0990], [0.1064, 0.1099, 6.5845]],
  "species": ["Ru", "Ru", "Ru", "Ru", "Ru", "Ru", "K", "S", "S", "S", "S", "S", "S", "S", "S"],
  "fractional_positions": [[0.4046, 0.5699, 0.1755], [0.4301, 0.8245, 0.5954], [0.8245, 0.5954, 0.4301], [0.5699, 0.1755, 0.4046], [0.5954, 0.4301, 0.8245], [0.1755, 0.4046, 0.5699], [0.0000, 0.0000, 0.0000], [0.6122, 0.8517, 0.2852], [0.3878, 0.1483, 0.7148], [0.2608, 0.2608, 0.2608], [0.7392, 0.7392, 0.7392], [0.1483, 0.7148, 0.3878], [0.7148, 0.3878, 0.1483], [0.8517, 0.2852, 0.6122], [0.2852, 0.6122, 0.8517]]
}

=====

3.
{
  "formula": "CePmSiNi",
  "functional": "GGA-PBE",
  "state": "relaxed",
  "space_group": "No. 216",
  "lattice": [[5.0098, 0.0000, 0.0000], [2.5049, 4.3386, 0.0000], [2.5049, 1.4462, 4.0905]],
  "species": ["Pm", "Ce", "Si", "Ni"],
  "fractional_positions": [[0.5000, 0.5000, 0.5000], [0.0000, 0.0000, 0.0000], [0.7500, 0.7500, 0.7500], [0.2500, 0.2500, 0.2500]]
}

=====

no.,raw total energy (eV per atom),uncorrected formation energy (eV/atom)
1,-6.82,-1.61
2,-6.36,-0.37
3,-5.79,-0.32